A relaxed Mn2PO crystal, computed with GGA+U.

The structure in POSCAR format:
```
Mn2PO
1.0
0.000 3.050 3.050
3.050 0.000 3.050
3.050 3.050 0.000
Mn P O
2 1 1
direct
0.250 0.250 0.250 Mn
0.750 0.750 0.750 Mn
0.000 0.000 0.000 P
0.500 0.500 0.500 O
```

Values from the calculation:
ΔE to the lowest computed polymorph, eV per atom: 0.5468
Space group: No. 225
Total moment, μB per formula unit: 9.00
Calculated total energy, eV for the cell shown: -25.87